# PBE Sm8HoEr2, optimized geometry
# Calculated total energy, eV/atom: -4.66
# Size of the total moment, μB per cell: 0.00
# N(E_F), states/eV/f.u.: 15.881
# ΔE to the lowest computed polymorph, eV/atom: 0.0000
# Energy of formation from the pure elements, eV per atom: 0.016
data_Sm8HoEr2
_chemical_formula_sum 'Sm8 Ho1 Er2'
_cell_length_a 6.224
_cell_length_b 6.224
_cell_length_c 9.521
_cell_angle_alpha 90.09
_cell_angle_beta 96.32
_cell_angle_gamma 99.59
_symmetry_space_group_name_H-M 'P -1'
_symmetry_Int_Tables_number 2
loop_
_symmetry_equiv_pos_as_xyz
'x,y,z'
'-x,-y,-z'
loop_
_atom_site_label
_atom_site_fract_x
_atom_site_fract_y
_atom_site_fract_z
_atom_site_occupancy
Sm1 0.047 0.092 0.182 1
Sm2 0.136 0.273 0.545 1
Sm3 0.228 0.455 0.909 1
Sm4 0.410 0.819 0.636 1
Ho1 0.500 0.000 0.000 1
Er1 0.318 0.637 0.271 1

---

# PBE Sm3Ho2Er8, optimized geometry
# Calculated total energy, eV/atom: -4.58
# Size of the total moment, μB per cell: 0.00
# N(E_F), states/eV/f.u.: 18.970
# ΔE to the lowest computed polymorph, eV/atom: 0.0000
# Energy of formation from the pure elements, eV per atom: 0.023
data_Sm3Ho2Er8
_chemical_formula_sum 'Sm3 Ho2 Er8'
_cell_length_a 6.122
_cell_length_b 6.127
_cell_length_c 11.179
_cell_angle_alpha 89.92
_cell_angle_beta 79.48
_cell_angle_gamma 80.42
_symmetry_space_group_name_H-M 'P -1'
_symmetry_Int_Tables_number 2
loop_
_symmetry_equiv_pos_as_xyz
'x,y,z'
'-x,-y,-z'
loop_
_atom_site_label
_atom_site_fract_x
_atom_site_fract_y
_atom_site_fract_z
_atom_site_occupancy
Sm1 0.000 0.000 0.000 1
Sm2 0.231 0.462 0.078 1
Ho1 0.385 0.769 0.462 1
Er1 0.077 0.152 0.690 1
Er2 0.154 0.308 0.386 1
Er3 0.308 0.613 0.766 1
Er4 0.462 0.925 0.157 1

---

# PBE Sm6Ho3Er2, optimized geometry
# Calculated total energy, eV/atom: -4.35
# Size of the total moment, μB per cell: 0.00
# N(E_F), states/eV/f.u.: 15.956
# Energy of formation from the pure elements, eV per atom: 0.297
data_Sm6Ho3Er2
_chemical_formula_sum 'Sm12 Ho6 Er4'
_cell_length_a 4.747
_cell_length_b 4.747
_cell_length_c 33.383
_cell_angle_alpha 90.00
_cell_angle_beta 90.00
_cell_angle_gamma 90.00
_symmetry_space_group_name_H-M 'I 4/m m m'
_symmetry_Int_Tables_number 139
_symmetry_space_group_name_Hall '-I 4 2'
loop_
_atom_site_label
_atom_site_fract_x
_atom_site_fract_y
_atom_site_fract_z
_atom_site_occupancy
Sm1 0.000 0.000 0.199 1
Sm2 0.000 0.500 0.120 1
Ho1 0.000 0.000 0.302 1
Ho2 0.000 0.000 0.500 1
Er1 0.000 0.000 0.045 1

---

# PBE Sm8HoEr6, optimized geometry
# Calculated total energy, eV/atom: -4.52
# Size of the total moment, μB per cell: 0.00
# N(E_F), states/eV/f.u.: 23.227
# ΔE to the lowest computed polymorph, eV/atom: 0.0000
# Energy of formation from the pure elements, eV per atom: 0.128
data_Sm8HoEr6
_chemical_formula_sum 'Sm24 Ho3 Er18'
_cell_length_a 9.0479
_cell_length_b 9.0479
_cell_length_c 20.7392
_cell_angle_alpha 90.00
_cell_angle_beta 90.00
_cell_angle_gamma 120.00
_symmetry_space_group_name_H-M 'R -3'
_symmetry_Int_Tables_number 148
_symmetry_space_group_name_Hall '-R 3'
loop_
_atom_site_label
_atom_site_fract_x
_atom_site_fract_y
_atom_site_fract_z
_atom_site_occupancy
Sm1 0.0000 0.0000 0.0774 1
Sm2 0.0812 0.5250 0.3069 1
Ho1 0.0000 0.0000 0.5000 1
Er1 0.0499 0.8048 0.2058 1

---

# PBE SmHo2Er, optimized geometry
# Calculated total energy, eV/atom: -4.59
# Size of the total moment, μB per cell: 0.00
# N(E_F), states/eV/f.u.: 5.676
# ΔE to the lowest computed polymorph, eV/atom: 0.0049
# Energy of formation from the pure elements, eV per atom: 0.015
data_SmHo2Er
_chemical_formula_sum 'Sm3 Ho6 Er3'
_cell_length_a 3.5685
_cell_length_b 3.5685
_cell_length_c 34.3596
_cell_angle_alpha 90.00
_cell_angle_beta 90.00
_cell_angle_gamma 120.00
_symmetry_space_group_name_H-M 'R 3 m'
_symmetry_Int_Tables_number 160
_symmetry_space_group_name_Hall 'R 3 -2"'
loop_
_atom_site_label
_atom_site_fract_x
_atom_site_fract_y
_atom_site_fract_z
_atom_site_occupancy
Sm1 0.0000 0.0000 0.0000 1
Ho1 0.0000 0.0000 0.5816 1
Ho2 0.0000 0.0000 0.7506 1
Er1 0.0000 0.0000 0.1660 1

---

# PBE SmHo12Er6, optimized geometry
# Calculated total energy, eV/atom: -4.42
# Size of the total moment, μB per cell: 0.00
# N(E_F), states/eV/f.u.: 32.759
# Energy of formation from the pure elements, eV per atom: 0.159
data_SmHo12Er6
_chemical_formula_sum 'Sm3 Ho36 Er18'
_cell_length_a 11.7875
_cell_length_b 11.7875
_cell_length_c 15.0850
_cell_angle_alpha 90.00
_cell_angle_beta 90.00
_cell_angle_gamma 120.00
_symmetry_space_group_name_H-M 'R -3'
_symmetry_Int_Tables_number 148
_symmetry_space_group_name_Hall '-R 3'
loop_
_atom_site_label
_atom_site_fract_x
_atom_site_fract_y
_atom_site_fract_z
_atom_site_occupancy
Sm1 0.0000 0.0000 0.0000 1
Ho1 0.0171 0.8351 0.1915 1
Ho2 0.0407 0.8510 0.4158 1
Er1 0.0093 0.4227 0.6793 1

---

# PBE Sm3HoEr3, optimized geometry
# Calculated total energy, eV/atom: -4.47
# Size of the total moment, μB per cell: 0.00
# N(E_F), states/eV/f.u.: 10.522
# ΔE to the lowest computed polymorph, eV/atom: 0.1469
# Energy of formation from the pure elements, eV per atom: 0.162
data_Sm3HoEr3
_chemical_formula_sum 'Sm18 Ho6 Er18'
_cell_length_a 6.1764
_cell_length_b 6.1764
_cell_length_c 42.7615
_cell_angle_alpha 90.00
_cell_angle_beta 90.00
_cell_angle_gamma 120.00
_symmetry_space_group_name_H-M 'R -3'
_symmetry_Int_Tables_number 148
_symmetry_space_group_name_Hall '-R 3'
loop_
_atom_site_label
_atom_site_fract_x
_atom_site_fract_y
_atom_site_fract_z
_atom_site_occupancy
Sm1 0.0002 0.3310 0.1314 1
Ho1 0.0000 0.0000 0.3333 1
Er1 0.0002 0.3332 0.2683 1

---

# PBE Sm3Ho2Er5, optimized geometry
# Calculated total energy, eV/atom: -4.27
# Size of the total moment, μB per cell: 0.00
# N(E_F), states/eV/f.u.: 17.012
# ΔE to the lowest computed polymorph, eV/atom: 0.1491
# Energy of formation from the pure elements, eV per atom: 0.347
data_Sm3Ho2Er5
_chemical_formula_sum 'Sm12 Ho8 Er20'
_cell_length_a 12.816
_cell_length_b 16.819
_cell_length_c 6.260
_cell_angle_alpha 90.00
_cell_angle_beta 90.00
_cell_angle_gamma 90.00
_symmetry_space_group_name_H-M 'I b a m'
_symmetry_Int_Tables_number 72
_symmetry_space_group_name_Hall '-I 2 2c'
loop_
_atom_site_label
_atom_site_fract_x
_atom_site_fract_y
_atom_site_fract_z
_atom_site_occupancy
Sm1 0.000 0.000 0.250 1
Sm2 0.158 0.247 0.000 1
Ho1 0.102 0.156 0.500 1
Er1 0.000 0.500 0.250 1
Er2 0.098 0.344 0.500 1
Er3 0.248 0.500 0.250 1